This record from Alexandria describes a relaxed Li3Cu4Pd crystal. The functional is PBE-GGA.

```
data_Li3Cu4Pd
_cell_length_a 4.927
_cell_length_b 8.642
_cell_length_c 4.912
_cell_angle_alpha 90.00
_cell_angle_beta 90.00
_cell_angle_gamma 90.00
_symmetry_space_group_name_H-M 'I m m 2'
_symmetry_Int_Tables_number 44
loop_
_symmetry_equiv_pos_as_xyz
'x,y,z'
'-x,-y,z'
'-x,y,z'
'x,-y,z'
'x+1/2,y+1/2,z+1/2'
'-x+1/2,-y+1/2,z+1/2'
'-x+1/2,y+1/2,z+1/2'
'x+1/2,-y+1/2,z+1/2'
loop_
_atom_site_label
_atom_site_type_symbol
_atom_site_fract_x
_atom_site_fract_y
_atom_site_fract_z
_atom_site_occupancy
Li1 Li 0.000 0.000 0.000 1
Li2 Li 0.000 0.252 0.769 1
Cu1 Cu 0.000 0.235 0.274 1
Cu2 Cu 0.249 0.500 0.996 1
Pd1 Pd 0.000 0.500 0.487 1
```

Polymorph energy (0 for the lowest one) in meV/atom: 0
DOS(E_F) in states/eV/cell: 5.0
Formation energy in eV/atom: -0.0325
Volume in Å³/cell: 209.16